MnP2H6O5 | PBE with a Hubbard U | optimized geometry

Calculated values
Its space group is P2_1/c (14).

Cell: 7.8015 7.9527 10.7240 Å, 90.00 103.89 90.00°
Element x y z (fractional)
Mn  0.1983  0.0461  0.1025
Mn  0.1983  0.4539  0.6025
Mn  0.8017  0.5461  0.3975
Mn  0.8017  0.9539  0.8975
P  0.0250  0.1975  0.3416
P  0.0250  0.3025  0.8416
P  0.4627  0.1143  0.6800
P  0.4627  0.3857  0.1800
P  0.5373  0.6143  0.8200
P  0.5373  0.8857  0.3200
P  0.9750  0.6975  0.1584
P  0.9750  0.8025  0.6584
H  0.1357  0.6144  0.1592
H  0.1357  0.8856  0.6592
H  0.1576  0.0902  0.4127
H  0.1576  0.4098  0.9127
H  0.1850  0.6870  0.4135
H  0.1850  0.8130  0.9135
H  0.3788  0.5195  0.1005
H  0.3788  0.9805  0.6005
H  0.3806  0.1126  0.7846
H  0.3806  0.3874  0.2846
H  0.3943  0.6658  0.4523
H  0.3943  0.8342  0.9523
H  0.6057  0.1658  0.0477
H  0.6057  0.3342  0.5477
H  0.6194  0.6126  0.7154
H  0.6194  0.8874  0.2154
H  0.6212  0.0195  0.3995
H  0.6212  0.4805  0.8995
H  0.8150  0.1870  0.0865
H  0.8150  0.3130  0.5865
H  0.8424  0.5902  0.0873
H  0.8424  0.9098  0.5873
H  0.8643  0.1144  0.3408
H  0.8643  0.3856  0.8408
O  0.0290  0.1386  0.9179
O  0.0290  0.3614  0.4179
O  0.0449  0.2112  0.2037
O  0.0449  0.2888  0.7037
O  0.2852  0.6493  0.4829
O  0.2852  0.8507  0.9829
O  0.3415  0.5764  0.7741
O  0.3415  0.9236  0.2741
O  0.4158  0.2201  0.1060
O  0.4158  0.2799  0.6060
O  0.5842  0.7201  0.3940
O  0.5842  0.7799  0.8940
O  0.6585  0.0764  0.7259
O  0.6585  0.4236  0.2259
O  0.7148  0.1493  0.0171
O  0.7148  0.3507  0.5171
O  0.9551  0.7112  0.2963
O  0.9551  0.7888  0.7963
O  0.9710  0.6386  0.5821
O  0.9710  0.8614  0.0821

MnTl2P4H8O16 | PBE with a Hubbard U | optimized geometry

Calculated values
Its space group is P-1 (2).

Cell: 7.1054 7.6785 7.8289 Å, 81.19 73.71 86.74°
Element x y z (fractional)
Mn  0.0000  0.0000  0.0000
Tl  0.3692  0.7680  0.2061
Tl  0.6308  0.2320  0.7939
P  0.1716  0.2390  0.2552
P  0.2400  0.6924  0.7483
P  0.7600  0.3076  0.2517
P  0.8284  0.7610  0.7448
H  0.1170  0.3262  0.7818
H  0.1296  0.1981  0.6369
H  0.2402  0.4551  0.0193
H  0.4511  0.2406  0.4129
H  0.5489  0.7594  0.5871
H  0.7598  0.5449  0.9807
H  0.8704  0.8019  0.3631
H  0.8830  0.6738  0.2182
O  0.0611  0.2171  0.7625
O  0.0613  0.7300  0.6547
O  0.1973  0.1048  0.1261
O  0.2278  0.4998  0.8357
O  0.2341  0.8246  0.8751
O  0.2547  0.1889  0.4144
O  0.2561  0.4225  0.1506
O  0.4154  0.7217  0.5734
O  0.5846  0.2783  0.4266
O  0.7439  0.5775  0.8494
O  0.7453  0.8111  0.5856
O  0.7659  0.1754  0.1249
O  0.7722  0.5002  0.1643
O  0.8027  0.8952  0.8739
O  0.9387  0.2700  0.3453
O  0.9389  0.7829  0.2375

MnVP2H2O10 | PBE with a Hubbard U | optimized geometry

Calculated values
For the polymorph energy (0 for the lowest one), the calculation gives 1274 meV per atom. Its space group is P-1 (2).

Cell: 5.1091 5.1665 7.7313 Å, 92.07 91.52 119.50°
Element x y z (fractional)
Mn  0.0000  0.0000  0.0000
V  0.0000  0.5000  0.5000
P  0.3912  0.5177  0.2593
P  0.6088  0.4823  0.7407
H  0.4594  0.7883  0.1817
H  0.5406  0.2117  0.8183
O  0.0309  0.0844  0.7471
O  0.0664  0.6111  0.9494
O  0.2475  0.3507  0.6638
O  0.3760  0.2926  0.1131
O  0.4121  0.8710  0.5433
O  0.5879  0.1290  0.4567
O  0.6240  0.7074  0.8869
O  0.7525  0.6493  0.3362
O  0.9336  0.3889  0.0506
O  0.9691  0.9156  0.2529

MnVP2H2O10 | PBE with a Hubbard U | optimized geometry

Calculated values
For the polymorph energy (0 for the lowest one), the calculation gives 0 meV per atom. Its space group is P-1 (2).

Cell: 5.1859 5.2479 7.2445 Å, 105.91 108.13 100.66°
Element x y z (fractional)
Mn  0.0000  0.0000  0.0000
V  0.0000  0.0000  0.5000
P  0.3255  0.6727  0.7712
P  0.6745  0.3273  0.2288
H  0.3396  0.9847  0.3138
H  0.6604  0.0153  0.6862
O  0.1095  0.6859  0.8768
O  0.1293  0.9497  0.2676
O  0.2518  0.3668  0.6290
O  0.3112  0.8608  0.6365
O  0.3684  0.2408  0.0675
O  0.6316  0.7592  0.9325
O  0.6888  0.1392  0.3635
O  0.7482  0.6332  0.3710
O  0.8707  0.0503  0.7324
O  0.8905  0.3141  0.1232

Number 1: ρ 2.1 g cm⁻³, E_tot -318.00 eV for the cell shown. Number 2: ρ 3.5 g cm⁻³, E_tot -191.39 eV for the cell shown. Number 3: ρ 3.1 g cm⁻³, E_tot -90.22 eV for the cell shown. Number 4: ρ 3.2 g cm⁻³, E_tot -110.59 eV for the cell shown.